No. 1
# Er4Cu2Pt (PBE, optimized geometry)
data_Er4Cu2Pt
_chemical_formula_sum 'Er12 Cu6 Pt3'
_cell_length_a 4.8430
_cell_length_b 4.8430
_cell_length_c 23.7606
_cell_angle_alpha 90.00
_cell_angle_beta 90.00
_cell_angle_gamma 120.00
_symmetry_space_group_name_H-M 'R -3 m'
_symmetry_Int_Tables_number 166
_symmetry_space_group_name_Hall '-R 3 2"'
loop_
_atom_site_label
_atom_site_type_symbol
_atom_site_fract_x
_atom_site_fract_y
_atom_site_fract_z
_atom_site_occupancy
Er1 Er 0.0000 0.0000 0.1241 1
Er2 Er 0.0000 0.0000 0.3746 1
Cu1 Cu 0.0000 0.0000 0.2524 1
Pt1 Pt 0.0000 0.0000 0.5000 1
# Total magnetization ... 0.00 μB/f.u.
# Polymorph energy (0 for the lowest one) ... 0.20 eV/f.u.
# Energy relative to the elements ... -0.459 eV per atom
# E_tot ... -107.10 eV per cell

***

No. 2
# Er6Cu2Pt (PBE, optimized geometry)
data_Er6Cu2Pt
_chemical_formula_sum 'Er24 Cu8 Pt4'
_cell_length_a 9.446
_cell_length_b 9.531
_cell_length_c 9.554
_cell_angle_alpha 90.00
_cell_angle_beta 90.00
_cell_angle_gamma 90.00
_symmetry_space_group_name_H-M 'I m m m'
_symmetry_Int_Tables_number 71
_symmetry_space_group_name_Hall '-I 2 2'
loop_
_atom_site_label
_atom_site_type_symbol
_atom_site_fract_x
_atom_site_fract_y
_atom_site_fract_z
_atom_site_occupancy
Er1 Er 0.000 0.204 0.173 1
Er2 Er 0.177 0.237 0.500 1
Er3 Er 0.186 0.500 0.246 1
Cu1 Cu 0.000 0.000 0.378 1
Cu2 Cu 0.144 0.000 0.000 1
Pt1 Pt 0.000 0.500 0.000 1
Pt2 Pt 0.000 0.500 0.500 1
# Total magnetization ... 0.00 μB/f.u.
# Energy relative to the elements ... -0.412 eV per atom
# E_tot ... -181.28 eV per cell

***

No. 3
# ErCu2Pt (PBE, optimized geometry)
data_ErCu2Pt
_chemical_formula_sum 'Er4 Cu8 Pt4'
_cell_length_a 6.387
_cell_length_b 6.387
_cell_length_c 6.387
_cell_angle_alpha 90.00
_cell_angle_beta 90.00
_cell_angle_gamma 90.00
_symmetry_space_group_name_H-M 'F m -3 m'
_symmetry_Int_Tables_number 225
_symmetry_space_group_name_Hall '-F 4 2 3'
loop_
_atom_site_label
_atom_site_type_symbol
_atom_site_fract_x
_atom_site_fract_y
_atom_site_fract_z
_atom_site_occupancy
Er1 Er 0.000 0.000 0.000 1
Cu1 Cu 0.250 0.250 0.250 1
Pt1 Pt 0.000 0.000 0.500 1
# Total magnetization ... 0.00 μB/f.u.
# Polymorph energy (0 for the lowest one) ... 0.00 eV/f.u.
# Energy relative to the elements ... -0.484 eV per atom
# E_tot ... -82.93 eV per cell

***

No. 4
# ErCu2Pt (PBE, optimized geometry)
data_ErCu2Pt
_chemical_formula_sum 'Er1 Cu2 Pt1'
_cell_length_a 3.978
_cell_length_b 3.978
_cell_length_c 4.202
_cell_angle_alpha 90.00
_cell_angle_beta 90.00
_cell_angle_gamma 90.00
_symmetry_space_group_name_H-M 'P 4/m m m'
_symmetry_Int_Tables_number 123
_symmetry_space_group_name_Hall '-P 4 2'
loop_
_atom_site_label
_atom_site_type_symbol
_atom_site_fract_x
_atom_site_fract_y
_atom_site_fract_z
_atom_site_occupancy
Er1 Er 0.000 0.000 0.000 1
Cu1 Cu 0.000 0.500 0.500 1
Pt1 Pt 0.500 0.500 0.000 1
# Total magnetization ... 0.00 μB/f.u.
# Polymorph energy (0 for the lowest one) ... 0.16 eV/f.u.
# Energy relative to the elements ... -0.445 eV per atom
# E_tot ... -20.57 eV per cell

***

No. 5
# ErCu3Pt (PBE, optimized geometry)
data_ErCu3Pt
_chemical_formula_sum 'Er4 Cu12 Pt4'
_cell_length_a 4.793
_cell_length_b 4.793
_cell_length_c 17.624
_cell_angle_alpha 90.00
_cell_angle_beta 90.00
_cell_angle_gamma 90.00
_symmetry_space_group_name_H-M 'I -4 m 2'
_symmetry_Int_Tables_number 119
_symmetry_space_group_name_Hall 'I -4 -2'
loop_
_atom_site_label
_atom_site_type_symbol
_atom_site_fract_x
_atom_site_fract_y
_atom_site_fract_z
_atom_site_occupancy
Er1 Er 0.000 0.000 0.171 1
Cu1 Cu 0.000 0.247 0.621 1
Cu2 Cu 0.000 0.500 0.062 1
Pt1 Pt 0.000 0.000 0.500 1
Pt2 Pt 0.000 0.500 0.750 1
# Total magnetization ... 0.00 μB/f.u.
# Energy relative to the elements ... -0.036 eV per atom
# E_tot ... -92.30 eV per cell

***

No. 6
# Er3Cu3Pt (PBE, optimized geometry)
data_Er3Cu3Pt
_chemical_formula_sum 'Er12 Cu12 Pt4'
_cell_length_a 3.911
_cell_length_b 9.986
_cell_length_c 14.136
_cell_angle_alpha 90.00
_cell_angle_beta 90.00
_cell_angle_gamma 90.00
_symmetry_space_group_name_H-M 'C m c m'
_symmetry_Int_Tables_number 63
_symmetry_space_group_name_Hall '-C 2c 2'
loop_
_atom_site_label
_atom_site_type_symbol
_atom_site_fract_x
_atom_site_fract_y
_atom_site_fract_z
_atom_site_occupancy
Er1 Er 0.000 0.047 0.250 1
Er2 Er 0.000 0.330 0.094 1
Cu1 Cu 0.000 0.243 0.750 1
Cu2 Cu 0.000 0.386 0.605 1
Pt1 Pt 0.000 0.000 0.000 1
# Total magnetization ... 0.00 μB/f.u.
# Energy relative to the elements ... -0.519 eV per atom
# E_tot ... -142.61 eV per cell